No. 1
PuCuPt | GGA-PBE | optimized geometry

- E above lowest polymorph: 0.274 eV/atom
- ΔE_f: -0.256 eV/atom
- SG: Imm2, No. 44
- Crystal system: orthorhombic

a = 4.315 Å, b = 6.543 Å, c = 7.676 Å
α = 115.23°, β = 106.32°, γ = 90.00°
Each line ends with the local moment (μB).
Sites, in units of the cell vectors:
Pu (0.348, 0.984, 0.696)  5.17
Pu (0.000, 0.766, 0.000)  5.32
Pu (0.652, 0.288, 0.304)  5.17
Pt (0.838, 0.270, 0.676)  -0.09
Pt (0.500, 0.482, 0.000)  -0.08
Pt (0.162, 0.594, 0.324)  -0.09
Cu (0.319, 0.488, 0.638)  0.01
Cu (0.000, 0.214, 0.000)  0.02
Cu (0.681, 0.850, 0.362)  0.01

=====

No. 2
PuCuPt | GGA-PBE | optimized geometry

- E above lowest polymorph: 0.109 eV/atom
- ΔE_f: -0.421 eV/atom
- SG: P-6m2, No. 187
- Crystal system: hexagonal

a = 2.983 Å, b = 4.614 Å, c = 4.614 Å
α = 120.00°, β = 90.00°, γ = 90.00°
Each line ends with the local moment (μB).
Sites, in units of the cell vectors:
Cu (0.167, 0.667, 0.333)  0.01
Pt (0.167, 0.000, 0.000)  -0.05
Pu (0.667, 0.333, 0.667)  5.21